VASP calculation (GGA-PBEsol) on a relaxed structure of B5H6Br.

For the magnetization, the calculation gives 0.0 μB per cell. Its volume is 10.73 Å³ per atom. As for the uncorrected energy: -4.8453 eV per atom. The density is 1.81 g/cm3.

Lattice parameters (Å, degrees): 13.2080 7.2300 11.6435 90.00 112.10 90.00
Closest atoms and distances in Å follow each position.
Fractional positions:
B: 0.1044 0.0239 0.3622  1 H 1.20
B: 0.1044 0.4761 0.8622  1 H 1.20
B: 0.1302 0.7103 0.8972  2 H 1.20-1.34
B: 0.1302 0.7897 0.3972  2 H 1.20-1.34
B: 0.1475 0.6146 0.7642  1 H 1.20
B: 0.1475 0.8854 0.2642  1 H 1.20
B: 0.1660 0.5175 0.0210  2 H 1.20-1.34
B: 0.1660 0.9825 0.5210  2 H 1.20-1.34
B: 0.2039 0.1811 0.4556  1 H 1.20
B: 0.2039 0.3189 0.9556  1 H 1.20
B: 0.2067 0.1075 0.3113  1 H 1.20
B: 0.2067 0.3925 0.8113  1 H 1.20
B: 0.2348 0.7141 0.3480  1 H 1.20
B: 0.2348 0.7859 0.8480  1 H 1.20
B: 0.2908 0.5802 0.8135  1 H 1.34
B: 0.2908 0.9198 0.3135  1 H 1.34
B: 0.3013 0.0670 0.5771  1 H 1.20
B: 0.3013 0.4330 0.0771  1 H 1.20
B: 0.3284 0.1143 0.4421  1 H 1.33
B: 0.3284 0.3857 0.9421  1 H 1.33
B: 0.6716 0.6143 0.0579  1 H 1.33
B: 0.6716 0.8857 0.5579  1 H 1.33
B: 0.6987 0.5670 0.9229  1 H 1.20
B: 0.6987 0.9330 0.4229  1 H 1.20
B: 0.7092 0.0802 0.6865  1 H 1.34
B: 0.7092 0.4198 0.1865  1 H 1.34
B: 0.7652 0.2141 0.1520  1 H 1.20
B: 0.7652 0.2859 0.6520  1 H 1.20
B: 0.7933 0.6075 0.1887  1 H 1.20
B: 0.7933 0.8925 0.6887  1 H 1.20
B: 0.7961 0.6811 0.0444  1 H 1.20
B: 0.7961 0.8189 0.5444  1 H 1.20
B: 0.8340 0.0175 0.4790  2 H 1.20-1.34
B: 0.8340 0.4825 0.9790  2 H 1.20-1.34
B: 0.8525 0.1146 0.7358  1 H 1.20
B: 0.8525 0.3854 0.2358  1 H 1.20
B: 0.8698 0.2103 0.6028  2 H 1.20-1.34
B: 0.8698 0.2897 0.1028  2 H 1.20-1.34
B: 0.8956 0.5239 0.1378  1 H 1.20
B: 0.8956 0.9761 0.6378  1 H 1.20
H: 0.0102 0.0681 0.3270  1 B 1.20
H: 0.0102 0.4319 0.8270  1 B 1.20
H: 0.0617 0.6809 0.3967  1 B 1.20
H: 0.0617 0.8191 0.8967  1 B 1.20
H: 0.0894 0.6420 0.6585  1 B 1.20
H: 0.0894 0.8580 0.1585  1 B 1.20
H: 0.1165 0.5160 0.0885  1 B 1.20
H: 0.1165 0.9840 0.5885  1 B 1.20
H: 0.1810 0.1624 0.9694  1 B 1.20
H: 0.1810 0.3376 0.4694  1 B 1.20
H: 0.1990 0.2212 0.2335  1 B 1.20
H: 0.1990 0.2788 0.7335  1 B 1.20
H: 0.2243 0.7016 0.4581  2 B 1.34
H: 0.2243 0.7984 0.9581  2 B 1.34
H: 0.2499 0.5611 0.3188  1 B 1.20
H: 0.2499 0.9389 0.8188  1 B 1.20
H: 0.2605 0.5999 0.0873  2 B 1.34-1.35
H: 0.2605 0.9001 0.5873  2 B 1.34-1.35
H: 0.3348 0.7083 0.9012  2 B 1.34-1.35
H: 0.3348 0.7917 0.4012  2 B 1.34-1.35
H: 0.3555 0.1183 0.6795  1 B 1.20
H: 0.3555 0.3817 0.1795  1 B 1.20
H: 0.3723 0.5101 0.0318  2 B 1.33-1.36
H: 0.3723 0.9899 0.5318  2 B 1.33-1.36
H: 0.6277 0.0101 0.4682  2 B 1.33-1.36
H: 0.6277 0.4899 0.9682  2 B 1.33-1.36
H: 0.6445 0.6183 0.8205  1 B 1.20
H: 0.6445 0.8817 0.3205  1 B 1.20
H: 0.6652 0.2083 0.5988  2 B 1.34-1.35
H: 0.6652 0.2917 0.0988  2 B 1.34-1.35
H: 0.7395 0.0999 0.4127  2 B 1.34-1.35
H: 0.7395 0.4001 0.9127  2 B 1.34-1.35
H: 0.7501 0.0611 0.1812  1 B 1.20
H: 0.7501 0.4389 0.6812  1 B 1.20
H: 0.7757 0.2016 0.0419  2 B 1.34
H: 0.7757 0.2984 0.5419  2 B 1.34
H: 0.8010 0.7212 0.2665  1 B 1.20
H: 0.8010 0.7788 0.7665  1 B 1.20
H: 0.8190 0.6624 0.5306  1 B 1.20
H: 0.8190 0.8376 0.0306  1 B 1.20
H: 0.8835 0.0160 0.4115  1 B 1.20
H: 0.8835 0.4840 0.9115  1 B 1.20
H: 0.9106 0.1420 0.8415  1 B 1.20
H: 0.9106 0.3580 0.3415  1 B 1.20
H: 0.9383 0.1809 0.1033  1 B 1.20
H: 0.9383 0.3191 0.6033  1 B 1.20
H: 0.9898 0.5681 0.1730  1 B 1.20
H: 0.9898 0.9319 0.6730  1 B 1.20
Br: 0.3779 0.5862 0.7110  1 B 1.94
Br: 0.3779 0.9138 0.2110  1 B 1.94
Br: 0.4474 0.2201 0.9514  1 B 1.95
Br: 0.4474 0.2799 0.4514  1 B 1.95
Br: 0.5526 0.7201 0.5486  1 B 1.95
Br: 0.5526 0.7799 0.0486  1 B 1.95
Br: 0.6221 0.0862 0.7890  1 B 1.94
Br: 0.6221 0.4138 0.2890  1 B 1.94